KRu2Se (PBE, optimized geometry); calculated density = 6.59 g cm⁻³; volume = 20.2 A^3/atom; formation energy from raw total energies = 19.1 kcal/mol of atoms; total magnetic moment = 1.6 μB/cell; DOS(E_F) = 1.1948 states/eV/atom
1.0
4.760 0.000 0.000
0.000 2.847 0.009
0.000 0.368 5.953
Ru K Se
2 1 1
Direct
0.000 0.454 0.426
0.000 0.046 0.074
0.500 0.750 0.750
0.500 0.250 0.250



YZr2As (PBE, optimized geometry); calculated density = 6.37 g cm⁻³; volume = 22.6 A^3/atom; total magnetic moment = 0.0 μB/cell; DFT formation energy = -0.333 eV/atom; DOS(E_F) = 0.9711 states/eV/atom
1.0
5.790 -0.005 0.000
2.641 5.153 0.000
-4.216 -2.574 3.022
Zr Y As
2 1 1
Direct
0.000 0.000 0.000
0.500 0.500 0.000
0.750 0.250 0.500
0.250 0.750 0.500



Sm3TlHg3 (PBE, optimized geometry); calculated density = 10.69 g cm⁻³; volume = 27.9 A^3/atom; total magnetic moment = 0.0 μB/cell; DFT formation energy = -0.336 eV/atom; DOS(E_F) = 0.8393 states/eV/atom
1.0
-0.200 0.029 -5.100
-9.369 -0.672 0.363
4.105 8.456 -0.113
Hg Sm Tl
6 6 2
Direct
0.750 0.037 0.806
0.250 0.231 0.037
0.750 0.769 0.963
0.250 0.963 0.194
0.250 0.806 0.769
0.750 0.194 0.231
0.750 0.898 0.342
0.750 0.444 0.102
0.250 0.342 0.444
0.250 0.102 0.658
0.750 0.658 0.556
0.250 0.556 0.898
0.750 0.333 0.667
0.250 0.667 0.333



KTl2HgRh (PBE, optimized geometry); calculated density = 7.29 g cm⁻³; volume = 34.3 A^3/atom; total magnetic moment = 0.0 μB/cell; DFT formation energy = 0.031 eV/atom; DOS(E_F) = 0.4027 states/eV/atom
1.0
5.289 0.000 0.000
0.000 5.289 0.000
0.000 0.000 6.121
Tl Hg K Rh
2 1 1 1
Direct
0.000 0.500 0.000
0.500 0.000 0.000
0.500 0.500 0.500
0.000 0.000 0.500
0.000 0.000 0.000



Pm12Bi6C (PBE, optimized geometry); calculated density = 7.77 g cm⁻³; volume = 33.8 A^3/atom; total magnetic moment = 0.6 μB/cell; DFT formation energy = -0.495 eV/atom; DOS(E_F) = 0.8009 states/eV/atom
1.0
-7.365 3.867 -2.748
-3.494 -6.595 4.586
2.043 5.383 6.602
Pm Bi C
12 6 1
Direct
0.578 0.454 0.805
0.422 0.546 0.195
0.805 0.578 0.454
0.061 0.999 0.296
0.001 0.704 0.939
0.546 0.195 0.422
0.195 0.422 0.546
0.704 0.939 0.001
0.939 0.001 0.704
0.296 0.061 0.999
0.999 0.296 0.061
0.454 0.805 0.578
0.648 0.301 0.117
0.352 0.699 0.883
0.301 0.117 0.648
0.117 0.648 0.301
0.699 0.883 0.352
0.883 0.352 0.699
0.000 0.000 0.000



CaMg3Co (PBE, optimized geometry); calculated density = 2.42 g cm⁻³; volume = 23.6 A^3/atom; total magnetic moment = 0.0 μB/cell; DFT formation energy = 0.076 eV/atom; DOS(E_F) = 0.6359 states/eV/atom
1.0
-2.334 0.421 4.293
1.099 -4.662 1.055
4.171 1.464 2.125
Mg Ca Co
3 1 1
Direct
0.500 0.000 0.000
0.000 0.500 0.000
0.000 0.000 0.500
0.500 0.500 0.500
0.000 0.000 0.000



SrTcSbO6 (PBE, optimized geometry); calculated density = 5.02 g cm⁻³; volume = 14.8 A^3/atom; formation energy from raw total energies = -41.6 kcal/mol of atoms; total magnetic moment = 2.0 μB/cell; DOS(E_F) = 0.5915 states/eV/atom
1.0
5.343 0.000 0.000
2.672 4.627 0.000
0.000 0.000 5.397
Sr Tc O Sb
1 1 6 1
Direct
0.000 0.000 0.000
0.667 0.667 0.500
0.381 0.624 0.295
0.624 0.995 0.295
0.624 0.381 0.704
0.995 0.381 0.295
0.995 0.624 0.704
0.381 0.995 0.704
0.333 0.333 0.500



BaSr2Ag2 (PBE, optimized geometry); calculated density = 4.18 g cm⁻³; volume = 42.0 A^3/atom; total magnetic moment = 0.0 μB/cell; DFT formation energy = -0.049 eV/atom; DOS(E_F) = 0.9002 states/eV/atom
1.0
-3.367 2.113 4.336
2.605 -3.654 3.804
3.804 3.454 5.261
Ag Sr Ba
2 2 1
Direct
0.750 0.250 0.500
0.250 0.750 0.500
0.659 0.659 0.681
0.341 0.341 0.319
0.000 0.000 0.000



Nd3HoGe4 (PBE, optimized geometry); calculated density = 6.77 g cm⁻³; volume = 27.2 A^3/atom; total magnetic moment = 0.0 μB/cell; DFT formation energy = -0.683 eV/atom; DOS(E_F) = 0.9558 states/eV/atom
1.0
-1.701 0.374 -3.813
-5.080 -3.449 1.928
-0.330 8.318 3.267
Nd Ge Ho
3 4 1
Direct
0.000 0.500 0.000
0.805 0.805 0.610
0.195 0.195 0.390
0.371 0.564 0.741
0.629 0.822 0.259
0.371 0.178 0.741
0.629 0.436 0.259
0.500 0.000 0.000



BaInNi (PBE, optimized geometry); calculated density = 5.86 g cm⁻³; volume = 29.4 A^3/atom; total magnetic moment = 0.0 μB/cell; DFT formation energy = -0.140 eV/atom; DOS(E_F) = 0.6956 states/eV/atom
1.0
4.304 0.000 -0.098
0.000 4.953 0.000
-2.202 0.000 4.185
Ba In Ni
1 1 1
Direct
0.716 0.000 0.228
0.028 0.500 0.863
0.335 0.500 0.499



YBePt3 (PBE, optimized geometry); calculated density = 9.86 g cm⁻³; volume = 23.0 A^3/atom; total magnetic moment = 0.0 μB/cell; DFT formation energy = -0.414 eV/atom; DOS(E_F) = 0.5811 states/eV/atom
1.0
4.346 0.000 0.000
0.000 2.650 -4.996
0.000 2.650 4.996
Pt Y Be
3 1 1
Direct
0.500 0.947 0.573
0.500 0.427 0.053
0.000 0.647 0.353
0.500 0.439 0.561
0.000 0.168 0.832



Ca2BRh (PBE, optimized geometry); calculated density = 3.83 g cm⁻³; volume = 21.0 A^3/atom; total magnetic moment = 0.0 μB/cell; DFT formation energy = -0.259 eV/atom; DOS(E_F) = 0.4529 states/eV/atom
1.0
3.511 0.000 0.000
0.000 8.361 0.000
0.000 0.000 5.724
Ca Rh B
4 2 2
Direct
0.000 0.310 0.103
0.500 0.190 0.603
0.000 0.690 0.103
0.500 0.810 0.603
0.500 0.000 0.088
0.000 0.500 0.588
0.000 0.000 0.912
0.500 0.500 0.412



La2YTl (PBE, optimized geometry); calculated density = 7.13 g cm⁻³; volume = 33.3 A^3/atom; total magnetic moment = 0.0 μB/cell; DFT formation energy = -0.126 eV/atom; DOS(E_F) = 1.3355 states/eV/atom
1.0
11.307 -0.012 -0.007
10.698 3.658 -0.007
10.698 1.773 3.200
La Tl Y
2 1 1
Direct
0.245 0.245 0.245
0.001 0.001 0.001
0.498 0.498 0.498
0.756 0.756 0.756



SrLiAcTl2 (PBE, optimized geometry); calculated density = 6.68 g cm⁻³; volume = 36.3 A^3/atom; total magnetic moment = 0.0 μB/cell; DFT formation energy = -0.197 eV/atom; DOS(E_F) = 0.8806 states/eV/atom
1.0
5.571 0.000 0.000
-2.786 4.825 0.000
0.000 0.000 6.758
Li Ac Tl Sr
1 1 2 1
Direct
0.333 0.667 0.678
0.000 0.000 0.950
0.333 0.667 0.166
0.667 0.333 0.844
0.667 0.333 0.362



CrTc2Ru (PBE, optimized geometry); calculated density = 10.48 g cm⁻³; volume = 13.8 A^3/atom; total magnetic moment = 0.0 μB/cell; DFT formation energy = 0.118 eV/atom; DOS(E_F) = 1.4329 states/eV/atom
1.0
-3.963 1.678 -1.792
-3.058 -3.481 -0.512
2.578 1.356 3.640
Cr Tc Ru
1 2 1
Direct
0.500 0.500 0.000
0.250 0.750 0.500
0.000 0.000 0.000
0.750 0.250 0.500



GaBRh2 (PBE, optimized geometry); calculated density = 9.89 g cm⁻³; volume = 12.0 A^3/atom; total magnetic moment = 0.0 μB/cell; DFT formation energy = -0.306 eV/atom; DOS(E_F) = 0.3095 states/eV/atom
1.0
2.750 0.000 0.000
0.000 2.750 0.000
0.000 0.000 6.358
Ga B Rh
1 1 2
Direct
0.500 0.500 0.500
0.500 0.500 0.000
0.000 0.000 0.208
0.000 0.000 0.792



La5Ho2Er12 (PBE, optimized geometry); calculated density = 8.00 g cm⁻³; volume = 33.1 A^3/atom; total magnetic moment = 0.0 μB/cell; DFT formation energy = 0.118 eV/atom; DOS(E_F) = 1.3684 states/eV/atom
1.0
4.630 11.418 0.090
-4.630 11.418 0.090
0.000 6.265 6.001
Ho Er La
2 12 5
Direct
0.326 0.674 0.000
0.674 0.326 0.000
0.179 0.560 0.587
0.554 0.554 0.230
0.034 0.676 0.048
0.676 0.034 0.048
0.324 0.966 0.952
0.446 0.446 0.770
0.929 0.929 0.264
0.071 0.071 0.736
0.966 0.324 0.952
0.560 0.179 0.587
0.821 0.440 0.413
0.440 0.821 0.413
0.711 0.711 0.600
0.000 0.000 0.500
0.232 0.232 0.107
0.768 0.768 0.893
0.289 0.289 0.400